--- 1 ---
First-principles (PBE) data for a relaxed structure of KLiOs3, as listed in Alexandria.

Cell: 4.3757 4.3757 4.3757 Å, 90.00 90.00 90.00°
Each line ends with the local moment (μB).
Sites, in units of the cell vectors:
K 0.5000 0.5000 0.5000  0.01
Os 0.0000 0.5000 0.0000  0.90
Os 0.0000 0.0000 0.5000  0.93
Os 0.5000 0.0000 0.0000  0.59
Li 0.0000 0.0000 0.0000  -0.01

---

--- 2 ---
First-principles (PBE) data for a relaxed structure of KLiOs3, as listed in Alexandria.

Cell: 4.6540 4.6540 4.6540 Å, 90.00 90.00 90.00°
Each line ends with the local moment (μB).
Sites, in units of the cell vectors:
K 0.0000 0.0000 0.0000  0.01
Os 0.0000 0.5000 0.0000  1.01
Os 0.0000 0.0000 0.5000  0.87
Os 0.5000 0.0000 0.0000  0.92
Li 0.5000 0.5000 0.5000  -0.01

---

Which structure loses on stability? 2 does.

---

--- 1 ---
First-principles (PBE) data for a relaxed structure of K2LiP2, as listed in Alexandria.

Cell: 7.3644 7.3644 7.3644 Å, 143.09 143.09 53.19°
Sites, in units of the cell vectors:
K 0.2500 0.7500 0.5000
K 0.7500 0.2500 0.5000
Li 0.0000 0.0000 0.0000
P 0.5808 0.5808 0.0000
P 0.4192 0.4192 0.0000

---

--- 2 ---
First-principles (PBE) data for a relaxed structure of K2LiP2, as listed in Alexandria.

Cell: 7.0890 7.0890 5.1327 Å, 90.00 90.00 90.00°
Each line ends with the local moment (μB).
Sites, in units of the cell vectors:
P 0.3915 0.8915 0.0000  0.06
P 0.8915 0.6085 0.0000  0.07
P 0.6085 0.1085 0.0000  0.06
P 0.1085 0.3915 0.0000  0.07
K 0.1784 0.6784 0.5000  0.01
K 0.6784 0.8216 0.5000  0.01
K 0.8216 0.3216 0.5000  0.01
K 0.3216 0.1784 0.5000  0.01
Li 0.0000 0.0000 0.0000  0.00
Li 0.5000 0.5000 0.0000  0.00

---

Which structure loses on stability? 1 does.